11
Lattice="8.3769 -1.8779 0.0000 8.3769 1.8779 0.0000 -2.2413 0.0000 6.6056" Properties=species:S:1:pos:R:3 comment="Al2PbAu8 GGA-PBE relaxed" dft_energy_ry_per_atom=-0.2620 spacegroup="C2/m (12)" magmom_total_mub_per_cell=0.00 rho_g_cm3=14.7 delta_e_f_mev_per_atom=-164 pbc="T T T"
Al 3.0821 0.0000 1.1284
Al 11.4304 0.0000 5.4772
Pb 7.2562 0.0000 3.3028
Au 0.3686 0.0000 1.4090
Au 1.2353 0.0000 5.0589
Au 4.1091 0.0000 3.7096
Au 6.6405 0.0000 0.2937
Au 7.8720 0.0000 6.3119
Au 10.4033 0.0000 2.8960
Au 13.2771 0.0000 1.5467
Au 14.1438 0.0000 5.1966